Entry 1:
This record from Alexandria describes crystalline IrPd2Br8 at its relaxed geometry. The functional is PBE.

Computed properties:
ΔE_f (raw): -77.9 meV/atom
Space group: C2/m (12)

a = 9.9524 Å, b = 7.1411 Å, c = 7.8239 Å
α = 96.85°, β = 90.00°, γ = 134.17°
Fractional positions:
Ir  0.0000  0.0000  0.0000
Br  0.9731  0.2956  0.1580
Br  0.1265  0.2531  0.7460
Br  0.6407  0.2815  0.4858
Br  0.6775  0.7044  0.8420
Br  0.3225  0.2956  0.1580
Br  0.3593  0.7185  0.5142
Br  0.0269  0.7044  0.8420
Br  0.8735  0.7469  0.2540
Pd  0.8771  0.7543  0.5950
Pd  0.1229  0.2457  0.4050

Entry 2:
This record from Alexandria describes crystalline Ir2Pd2Br at its relaxed geometry. The functional is PBE.

Computed properties:
ΔE_f (raw): 635.5 meV/atom
Space group: P4/mbm (127)

a = 7.9914 Å, b = 7.9914 Å, c = 2.7041 Å
α = 90.00°, β = 90.00°, γ = 90.00°
Fractional positions:
Pd  0.1764  0.6764  0.5000
Pd  0.6764  0.8236  0.5000
Pd  0.3236  0.1764  0.5000
Pd  0.8236  0.3236  0.5000
Ir  0.3823  0.8823  0.0000
Ir  0.1177  0.3823  0.0000
Ir  0.6177  0.1177  0.0000
Ir  0.8823  0.6177  0.0000
Br  0.5000  0.5000  0.0000
Br  0.0000  0.0000  0.0000

Entry 3:
This record from Alexandria describes crystalline Ir3PdBr at its relaxed geometry. The functional is PBE.

Computed properties:
ΔE_f (raw): 2257.2 meV/atom
Space group: Pm-3m (221)

a = 4.8435 Å, b = 4.8435 Å, c = 4.8435 Å
α = 90.00°, β = 90.00°, γ = 90.00°
Each line ends with the local moment (μB).
Fractional positions:
Ir  0.0000  0.0000  0.5000  1.85
Ir  0.0000  0.5000  0.0000  1.44
Ir  0.5000  0.0000  0.0000  0.83
Br  0.5000  0.5000  0.5000  0.25
Pd  0.0000  0.0000  0.0000  0.57

Entry 4:
This record from Alexandria describes crystalline Pm4IrPdBr2 at its relaxed geometry. The functional is PBE.

Computed properties:
ΔE_f (raw): -1069.8 meV/atom
Space group: P2/m (10)

a = 4.1672 Å, b = 8.1178 Å, c = 7.2140 Å
α = 72.62°, β = 90.00°, γ = 90.00°
Fractional positions:
Pm  0.0000  0.6972  0.7574
Pm  0.0000  0.3028  0.2426
Pm  0.5000  0.3038  0.7249
Pm  0.5000  0.6962  0.2751
Br  0.0000  0.0000  0.0000
Br  0.5000  0.0000  0.5000
Pd  0.5000  0.5000  0.0000
Ir  0.0000  0.5000  0.5000

Entry 5:
This record from Alexandria describes crystalline Pr6Ir2PdBr3 at its relaxed geometry. The functional is PBE.

Computed properties:
ΔE_f (raw): -1077.8 meV/atom
Space group: C2/m (12)

a = 7.2962 Å, b = 7.2962 Å, c = 8.2259 Å
α = 98.50°, β = 98.50°, γ = 119.99°
Fractional positions:
Br  0.5000  0.5000  0.5000
Br  0.8320  0.1680  0.5000
Br  0.1680  0.8320  0.5000
Pd  0.0000  0.0000  0.0000
Ir  0.3334  0.6666  0.0000
Ir  0.6666  0.3334  0.0000
Pr  0.2780  0.2780  0.8029
Pr  0.9342  0.5908  0.8028
Pr  0.0658  0.4092  0.1972
Pr  0.7220  0.7220  0.1971
Pr  0.5908  0.9342  0.8028
Pr  0.4092  0.0658  0.1972

Entry 6:
This record from Alexandria describes crystalline Pr8IrPd3Br4 at its relaxed geometry. The functional is PBE.

Computed properties:
ΔE_f (raw): -1027.6 meV/atom
Space group: R-3m (166)

a = 8.4723 Å, b = 9.2390 Å, c = 8.4715 Å
α = 117.31°, β = 120.00°, γ = 90.00°
Fractional positions:
Pr  0.7711  0.3006  0.0294
Pr  0.2583  0.3006  0.0294
Pr  0.7710  0.3005  0.5420
Pr  0.2289  0.6994  0.9706
Pr  0.2667  0.3003  0.5334
Pr  0.2290  0.6995  0.4580
Pr  0.7417  0.6994  0.9706
Pr  0.7333  0.6997  0.4666
Pd  0.5000  0.5000  0.0000
Pd  0.0000  0.5000  0.5000
Pd  0.5000  0.5000  0.5000
Br  0.0000  0.0000  0.0000
Br  0.5000  0.0000  0.5000
Br  0.0000  0.0000  0.5000
Br  0.5000  0.0000  0.0000
Ir  0.0000  0.5000  0.0000

Entry 7:
This record from Alexandria describes crystalline RbIr2PdBr at its relaxed geometry. The functional is PBE.

Computed properties:
ΔE_f (raw): 2632.1 meV/atom
Space group: P4/mmm (123)

a = 5.0174 Å, b = 5.8241 Å, c = 5.0174 Å
α = 90.00°, β = 90.00°, γ = 90.00°
Each line ends with the local moment (μB).
Fractional positions:
Pd  0.5000  0.5000  0.5000  0.45
Ir  0.5000  0.0000  0.0000  1.37
Ir  0.0000  0.0000  0.5000  1.18
Rb  0.0000  0.0000  0.0000  0.01
Br  0.0000  0.5000  0.0000  0.12

Entry 8:
This record from Alexandria describes crystalline Rb2IrPdBr6 at its relaxed geometry. The functional is PBE.

Computed properties:
ΔE_f (raw): -744.0 meV/atom
Space group: I4/mmm (139)

a = 7.4527 Å, b = 7.4527 Å, c = 7.4607 Å
α = 60.04°, β = 60.04°, γ = 90.00°
Each line ends with the local moment (μB).
Fractional positions:
Br  0.2422  0.2422  0.5157  0.03
Br  0.7578  0.7578  0.4843  0.03
Br  0.2428  0.7572  0.0000  0.02
Br  0.7572  0.2428  0.0000  0.02
Br  0.7572  0.7572  0.0000  0.02
Br  0.2428  0.2428  0.0000  0.02
Rb  0.7500  0.2500  0.5000  0.00
Rb  0.2500  0.7500  0.5000  0.00
Ir  0.0000  0.0000  0.0000  0.21
Pd  0.5000  0.5000  0.0000  0.13